Run a
# NaGdSO

A relaxed NaGdSO crystal (PBE-GGA, OQMD). Values from VASP.

```
&SYSTEM
  ibrav = 0, nat = 16, ntyp = 4
/
ATOMIC_SPECIES
Gd 157.25 Gd.upf
Na 22.99 Na.upf
O 16.00 O.upf
S 32.06 S.upf
CELL_PARAMETERS angstrom
6.777 0.000 -0.402
0.000 7.348 0.000
-1.140 0.000 6.244
ATOMIC_POSITIONS crystal
Gd 0.544 0.623 0.237
Gd 0.456 0.123 0.263
Gd 0.544 0.877 0.737
Gd 0.456 0.377 0.763
Na 0.913 0.254 0.006
Na 0.087 0.754 0.494
Na 0.913 0.246 0.506
Na 0.087 0.746 0.994
O 0.616 0.345 0.116
O 0.384 0.845 0.384
O 0.616 0.155 0.616
O 0.384 0.655 0.884
S 0.786 0.917 0.168
S 0.214 0.417 0.332
S 0.786 0.583 0.668
S 0.214 0.083 0.832
```

=====

Run b
# NaGdSO

A relaxed NaGdSO crystal (PBE-GGA, OQMD). Values from VASP.

```
&SYSTEM
  ibrav = 0, nat = 8, ntyp = 4
/
ATOMIC_SPECIES
Gd 157.25 Gd.upf
Na 22.99 Na.upf
O 16.00 O.upf
S 32.06 S.upf
CELL_PARAMETERS angstrom
3.953 0.000 0.000
0.000 3.953 0.000
0.000 0.000 9.241
ATOMIC_POSITIONS crystal
Gd 0.250 0.250 0.121
Gd 0.750 0.750 0.879
Na 0.750 0.250 0.500
Na 0.250 0.750 0.500
O 0.750 0.250 0.000
O 0.250 0.750 0.000
S 0.750 0.750 0.300
S 0.250 0.250 0.700
```

=====

Run c
# NaGdSO

A relaxed NaGdSO crystal (PBE-GGA, OQMD). Values from VASP.

```
&SYSTEM
  ibrav = 0, nat = 8, ntyp = 4
/
ATOMIC_SPECIES
Gd 157.25 Gd.upf
Na 22.99 Na.upf
O 16.00 O.upf
S 32.06 S.upf
CELL_PARAMETERS angstrom
4.319 0.000 0.000
0.000 7.311 0.000
0.000 0.000 6.073
ATOMIC_POSITIONS crystal
Gd 0.500 0.856 0.039
Gd 0.500 0.144 0.539
Na 0.000 0.298 0.111
Na 0.000 0.702 0.611
O 0.500 0.123 0.187
O 0.500 0.877 0.687
S 0.000 0.676 0.155
S 0.000 0.324 0.655
```

=====

Relative to the most stable one, in meV per atom, the structures come out at run a 0; run b 52; run c 165.

=====

Run a
# NaGdSO

A relaxed NaGdSO crystal (PBE-GGA, OQMD). Values from VASP.

```
&SYSTEM
  ibrav = 0, nat = 16, ntyp = 4
/
ATOMIC_SPECIES
Gd 157.25 Gd.upf
Na 22.99 Na.upf
O 16.00 O.upf
S 32.06 S.upf
CELL_PARAMETERS angstrom
-1.637 2.356 4.795
-5.120 -2.162 -0.686
3.648 -9.496 2.702
ATOMIC_POSITIONS crystal
Gd 0.554 0.361 0.110
Gd 0.054 0.861 0.110
Gd 0.946 0.361 0.890
Gd 0.446 0.861 0.890
Na 0.950 0.113 0.406
Na 0.454 0.616 0.406
Na 0.546 0.116 0.594
Na 0.050 0.613 0.594
O 0.750 0.111 0.000
O 0.250 0.111 0.000
O 0.250 0.611 0.000
O 0.750 0.611 0.000
S 0.906 0.613 0.317
S 0.405 0.114 0.317
S 0.595 0.614 0.683
S 0.094 0.113 0.683
```

=====

Run b
# NaGdSO

A relaxed NaGdSO crystal (PBE-GGA, OQMD). Values from VASP.

```
&SYSTEM
  ibrav = 0, nat = 16, ntyp = 4
/
ATOMIC_SPECIES
Gd 157.25 Gd.upf
Na 22.99 Na.upf
O 16.00 O.upf
S 32.06 S.upf
CELL_PARAMETERS angstrom
5.706 0.000 0.000
0.000 9.907 0.000
0.000 0.000 5.608
ATOMIC_POSITIONS crystal
Gd 0.997 0.329 0.073
Gd 0.497 0.671 0.073
Gd 0.503 0.329 0.573
Gd 0.003 0.671 0.573
Na 0.416 0.077 0.001
Na 0.916 0.923 0.001
Na 0.084 0.077 0.501
Na 0.584 0.923 0.501
O 0.034 0.128 0.100
O 0.534 0.872 0.100
O 0.466 0.128 0.600
O 0.966 0.872 0.600
S 0.502 0.364 0.076
S 0.002 0.636 0.076
S 0.998 0.364 0.576
S 0.498 0.636 0.576
```

=====

Relative to the most stable one, in meV per atom, the structures come out at run a 0; run b 197.

=====

Run a
# NaGdTeO

A relaxed NaGdTeO crystal (PBE-GGA, OQMD). Values from VASP.

```
&SYSTEM
  ibrav = 0, nat = 8, ntyp = 4
/
ATOMIC_SPECIES
Gd 157.25 Gd.upf
Na 22.99 Na.upf
O 16.00 O.upf
Te 127.60 Te.upf
CELL_PARAMETERS angstrom
-0.825 2.827 -3.480
5.175 -3.828 -4.337
-4.783 -4.036 -2.144
ATOMIC_POSITIONS crystal
Gd 0.500 0.885 0.011
Gd 0.500 0.115 0.511
Na 0.000 0.275 0.129
Na 0.000 0.725 0.629
O 0.500 0.115 0.188
O 0.500 0.885 0.688
Te 0.000 0.678 0.163
Te 0.000 0.322 0.663
```

=====

Run b
# NaGdTeO

A relaxed NaGdTeO crystal (PBE-GGA, OQMD). Values from VASP.

```
&SYSTEM
  ibrav = 0, nat = 8, ntyp = 4
/
ATOMIC_SPECIES
Gd 157.25 Gd.upf
Na 22.99 Na.upf
O 16.00 O.upf
Te 127.60 Te.upf
CELL_PARAMETERS angstrom
-2.345 -3.306 -0.880
-0.876 -0.451 4.029
-8.102 6.037 -1.086
ATOMIC_POSITIONS crystal
Gd 0.250 0.250 0.102
Gd 0.750 0.750 0.898
Na 0.750 0.250 0.500
Na 0.250 0.750 0.500
O 0.750 0.250 0.000
O 0.250 0.750 0.000
Te 0.750 0.750 0.285
Te 0.250 0.250 0.715
```

=====

Run c
# NaGdTeO

A relaxed NaGdTeO crystal (PBE-GGA, OQMD). Values from VASP.

```
&SYSTEM
  ibrav = 0, nat = 16, ntyp = 4
/
ATOMIC_SPECIES
Gd 157.25 Gd.upf
Na 22.99 Na.upf
O 16.00 O.upf
Te 127.60 Te.upf
CELL_PARAMETERS angstrom
-5.303 -4.479 2.431
4.325 -6.048 -1.708
3.415 0.834 5.696
ATOMIC_POSITIONS crystal
Gd 0.534 0.625 0.218
Gd 0.466 0.125 0.282
Gd 0.534 0.875 0.718
Gd 0.466 0.375 0.782
Na 0.890 0.294 0.028
Na 0.110 0.794 0.472
Na 0.890 0.206 0.528
Na 0.110 0.706 0.972
O 0.588 0.349 0.106
O 0.412 0.849 0.394
O 0.588 0.151 0.606
O 0.412 0.651 0.894
Te 0.803 0.925 0.150
Te 0.197 0.425 0.350
Te 0.803 0.575 0.650
Te 0.197 0.075 0.850
```

=====

Relative to the most stable one, in meV per atom, the structures come out at run a 183; run b 0; run c 17.

=====

Run a
# RbNaGd

A relaxed RbNaGd crystal (PBE-GGA, OQMD). Values from VASP.

```
&SYSTEM
  ibrav = 0, nat = 3, ntyp = 3
/
ATOMIC_SPECIES
Gd 157.25 Gd.upf
Na 22.99 Na.upf
Rb 85.47 Rb.upf
CELL_PARAMETERS angstrom
-3.163 3.414 3.849
-5.491 1.989 -1.539
-4.900 -2.258 2.714
ATOMIC_POSITIONS crystal
Gd 0.250 0.250 0.250
Na 0.750 0.750 0.750
Rb 0.000 0.000 0.000
```

=====

Run b
# RbNaGd

A relaxed RbNaGd crystal (PBE-GGA, OQMD). Values from VASP.

```
&SYSTEM
  ibrav = 0, nat = 3, ntyp = 3
/
ATOMIC_SPECIES
Gd 157.25 Gd.upf
Na 22.99 Na.upf
Rb 85.47 Rb.upf
CELL_PARAMETERS angstrom
5.020 -2.805 -1.926
3.441 -3.091 3.922
0.184 -6.057 -0.246
ATOMIC_POSITIONS crystal
Gd 0.000 0.000 0.000
Na 0.250 0.250 0.250
Rb 0.750 0.750 0.750
```

=====

Relative to the most stable one, in meV per atom, the structures come out at run a 75; run b 0.